(1)
Here is a geometry-optimized BaNpCrN3 structure from the Alexandria database. Energies are from PBE-GGA.

The structure in POSCAR format:
```
BaNpCrN3
1.0
3.753 0.000 0.000
-1.877 6.593 -0.011
0.000 -1.951 7.326
Ba N Np Cr
2 6 2 2
direct
0.362 0.724 0.930
0.638 0.276 0.070
0.506 0.013 0.305
0.850 0.700 0.245
0.171 0.341 0.384
0.829 0.659 0.616
0.150 0.300 0.755
0.494 0.987 0.695
0.349 0.699 0.432
0.651 0.301 0.568
0.000 0.001 0.688
0.000 0.999 0.312
```

## Properties
E_form (uncorrected) = -4.86 eV per formula unit
Total energy = -108.65 eV for the cell shown

=====

(2)
Here is a geometry-optimized BaNpCrN4 structure from the Alexandria database. Energies are from PBE-GGA.

The structure in POSCAR format:
```
BaNpCrN4
1.0
5.746 0.000 0.004
0.000 5.617 0.000
-2.246 0.000 7.102
Np N Cr Ba
2 8 2 2
direct
0.778 0.750 0.449
0.222 0.250 0.551
0.564 0.250 0.808
0.436 0.750 0.192
0.965 0.008 0.686
0.035 0.508 0.314
0.965 0.492 0.686
0.035 0.992 0.314
0.444 0.750 0.555
0.556 0.250 0.445
0.237 0.750 0.334
0.763 0.250 0.666
0.712 0.750 0.924
0.288 0.250 0.076
```

## Properties
E_form (uncorrected) = -5.61 eV per formula unit
Total energy = -126.79 eV for the cell shown

=====

The lowest E_form (uncorrected) belongs to which entry? BaNpCrN4